*w*
VASP calculation (PBE-GGA) on FeHg2I after structural relaxation.

a = 5.329 Å, b = 5.329 Å, c = 18.075 Å
α = 90.00°, β = 90.00°, γ = 90.00°
Atoms (fractional coordinates):
Fe1 0.000 0.000 0.000
Fe2 0.000 0.500 0.250
Fe3 0.500 0.000 0.750
Fe4 0.500 0.500 0.500
Hg1 0.104 0.250 0.125
Hg2 0.250 0.604 0.375
Hg3 0.250 0.896 0.875
Hg4 0.396 0.250 0.625
Hg5 0.604 0.750 0.625
Hg6 0.750 0.104 0.875
Hg7 0.750 0.396 0.375
Hg8 0.896 0.750 0.125
I1 0.000 0.000 0.500
I2 0.000 0.500 0.750
I3 0.500 0.000 0.250
I4 0.500 0.500 0.000

DOS(E_F) in states/eV per cell: 6.7
Symmetry: No. 122

*x*
VASP calculation (PBE-GGA) on FeHg2I after structural relaxation.

a = 7.341 Å, b = 7.341 Å, c = 7.341 Å
α = 90.00°, β = 90.00°, γ = 90.00°
Atoms (fractional coordinates):
Fe1 0.000 0.000 0.000
Fe2 0.000 0.500 0.500
Fe3 0.500 0.000 0.500
Fe4 0.500 0.500 0.000
Hg1 0.250 0.250 0.250
Hg2 0.250 0.250 0.750
Hg3 0.250 0.750 0.250
Hg4 0.250 0.750 0.750
Hg5 0.750 0.250 0.250
Hg6 0.750 0.250 0.750
Hg7 0.750 0.750 0.250
Hg8 0.750 0.750 0.750
I1 0.000 0.000 0.500
I2 0.000 0.500 0.000
I3 0.500 0.000 0.000
I4 0.500 0.500 0.500

DOS(E_F) in states/eV per cell: 65.2
Symmetry: No. 225

It is *x* that is the least stable of them.

*w*
VASP calculation (PBE-GGA) on FeHg2I2 after structural relaxation.

a = 7.276 Å, b = 7.276 Å, c = 7.566 Å
α = 90.00°, β = 90.00°, γ = 90.00°
Atoms (fractional coordinates):
Fe1 0.000 0.000 0.000
Fe2 0.500 0.500 0.000
Hg1 0.166 0.334 0.500
Hg2 0.334 0.834 0.500
Hg3 0.666 0.166 0.500
Hg4 0.834 0.666 0.500
I1 0.182 0.682 0.000
I2 0.318 0.182 0.000
I3 0.682 0.818 0.000
I4 0.818 0.318 0.000

DOS(E_F) in states/eV per cell: 4.0
Symmetry: No. 127

*x*
VASP calculation (PBE-GGA) on FeHg2I2 after structural relaxation.

a = 3.950 Å, b = 3.950 Å, c = 20.475 Å
α = 90.00°, β = 90.00°, γ = 90.00°
Atoms (fractional coordinates):
Fe1 0.000 0.000 0.000
Fe2 0.500 0.500 0.500
Hg1 0.000 0.500 0.250
Hg2 0.000 0.500 0.750
Hg3 0.500 0.000 0.250
Hg4 0.500 0.000 0.750
I1 0.000 0.000 0.415
I2 0.000 0.000 0.585
I3 0.500 0.500 0.085
I4 0.500 0.500 0.915

DOS(E_F) in states/eV per cell: 7.8
Symmetry: No. 139

It is *x* that is the least stable of them.

*w*
VASP calculation (PBE-GGA) on FeHgI3 after structural relaxation.

a = 8.551 Å, b = 8.551 Å, c = 6.467 Å
α = 90.00°, β = 90.00°, γ = 126.25°
Atoms (fractional coordinates):
Fe1 0.237 0.763 0.500
Fe2 0.763 0.237 0.000
Hg1 0.388 0.612 0.788
Hg2 0.612 0.388 0.288
I1 0.081 0.423 0.302
I2 0.091 0.909 0.314
I3 0.423 0.081 0.802
I4 0.577 0.919 0.302
I5 0.909 0.091 0.814
I6 0.919 0.577 0.802

DOS(E_F) in states/eV per cell: 4.6
Symmetry: No. 36

*x*
VASP calculation (PBE-GGA) on FeHgI3 after structural relaxation.

a = 5.347 Å, b = 5.347 Å, c = 5.347 Å
α = 90.00°, β = 90.00°, γ = 90.00°
Atoms (fractional coordinates):
Fe1 0.000 0.000 0.000
Hg1 0.500 0.500 0.500
I1 0.000 0.000 0.500
I2 0.000 0.500 0.000
I3 0.500 0.000 0.000

DOS(E_F) in states/eV per cell: 10.1
Symmetry: No. 221

It is *x* that is the least stable of them.

*w*
VASP calculation (PBE-GGA) on Fe2HgI after structural relaxation.

a = 6.412 Å, b = 6.412 Å, c = 6.412 Å
α = 90.00°, β = 90.00°, γ = 90.00°
Atoms (fractional coordinates):
Fe1 0.250 0.250 0.250
Fe2 0.250 0.250 0.750
Fe3 0.250 0.750 0.250
Fe4 0.250 0.750 0.750
Fe5 0.750 0.250 0.250
Fe6 0.750 0.250 0.750
Fe7 0.750 0.750 0.250
Fe8 0.750 0.750 0.750
Hg1 0.000 0.000 0.000
Hg2 0.000 0.500 0.500
Hg3 0.500 0.000 0.500
Hg4 0.500 0.500 0.000
I1 0.000 0.000 0.500
I2 0.000 0.500 0.000
I3 0.500 0.000 0.000
I4 0.500 0.500 0.500

DOS(E_F) in states/eV per cell: 61.4
Symmetry: No. 225

*x*
VASP calculation (PBE-GGA) on Fe2HgI after structural relaxation.

a = 7.220 Å, b = 7.220 Å, c = 6.646 Å
α = 90.00°, β = 90.00°, γ = 90.00°
Atoms (fractional coordinates):
Fe1 0.244 0.250 0.125
Fe2 0.250 0.744 0.375
Fe3 0.250 0.756 0.875
Fe4 0.256 0.250 0.625
Fe5 0.744 0.750 0.625
Fe6 0.750 0.244 0.875
Fe7 0.750 0.256 0.375
Fe8 0.756 0.750 0.125
Hg1 0.000 0.000 0.500
Hg2 0.000 0.500 0.750
Hg3 0.500 0.000 0.250
Hg4 0.500 0.500 0.000
I1 0.000 0.000 0.000
I2 0.000 0.500 0.250
I3 0.500 0.000 0.750
I4 0.500 0.500 0.500

DOS(E_F) in states/eV per cell: 25.9
Symmetry: No. 122

It is *w* that is the least stable of them.